TlZnCr2O8 GGA+U relaxed; VASP energy = -5.932 eV/atom; space group = No. 164
1.0
5.6367 0.0000 0.0000
-2.8184 4.8816 0.0000
0.0000 0.0000 6.5423
Tl Zn Cr O
1 1 2 8
direct
0.0000 0.0000 0.0000
0.0000 0.0000 0.5000
0.3333 0.6667 0.2233
0.6667 0.3333 0.7767
0.1676 0.3352 0.2998
0.1676 0.8324 0.2998
0.3333 0.6667 0.9764
0.3352 0.1676 0.7002
0.6648 0.8324 0.2998
0.6667 0.3333 0.0236
0.8324 0.1676 0.7002
0.8324 0.6648 0.7002